Record 1
VASP calculation (PBE-GGA) on a relaxed structure of Tb5YHo2Er.

As for the density of states at the Fermi level: 59.8 states/eV/cell. Its calculated total energy is -41.906 eV/f.u. The calculation puts the formation energy at 0.159 eV per atom. Its total magnetization is 0.000 μB per cell.

The space group is Cmc2_1 (No. 36) and the conventional cell measures 5.5885, 19.9137 and 10.5312 Å, with angles of 90.00, 90.00 and 90.00 degrees. Symmetry generates all atoms from Tb at (0.0000, 0.0173, 0.0000), Tb at (0.0000, 0.2801, 0.2883), Tb at (0.0000, 0.2997, 0.6867), Tb at (0.0000, 0.3878, 0.0012), Tb at (0.0000, 0.4796, 0.7182), Y at (0.0000, 0.4115, 0.4348), Ho at (0.0000, 0.1109, 0.7153), Ho at (0.0000, 0.1136, 0.2938) and Er at (0.0000, 0.1992, 0.9897).

Record 2
VASP calculation (PBE-GGA) on a relaxed structure of CaBrO2.

As for the density of states at the Fermi level: 9.4 states/eV/cell. Its calculated total energy is -19.271 eV/f.u. Its total magnetization is 2.505 μB per cell. For the formation energy without anion corrections, the calculation gives -548 kJ/mol of formula units.

The space group is R-3m (No. 166, hexagonal axes) and the conventional cell measures 3.6243, 3.6243 and 18.6394 Å, with angles of 90.00, 90.00 and 120.00 degrees. Symmetry generates all atoms from Ca at (0.0000, 0.0000, 0.0000), Br at (0.0000, 0.0000, 0.5000) and O at (0.0000, 0.0000, 0.3946).